# 1
VASP calculation (PBE-GGA) on a geometry-optimized Ni21B6Au2 structure.

```
Ni21B6Au2
1.0
6.481 0.000 3.742
2.160 6.111 3.742
0.000 0.000 7.484
Ni B Au
21 6 2
Direct
0.000 0.664 0.000 Ni
0.664 0.000 0.336 Ni
0.614 0.614 0.614 Ni
0.664 0.336 0.000 Ni
0.000 0.664 0.336 Ni
0.336 0.664 0.000 Ni
0.614 0.614 0.158 Ni
0.158 0.614 0.614 Ni
0.614 0.158 0.614 Ni
0.000 0.000 0.000 Ni
0.842 0.386 0.386 Ni
0.386 0.386 0.842 Ni
0.386 0.386 0.386 Ni
0.386 0.842 0.386 Ni
0.000 0.336 0.000 Ni
0.000 0.000 0.664 Ni
0.000 0.336 0.664 Ni
0.664 0.000 0.000 Ni
0.000 0.000 0.336 Ni
0.336 0.000 0.664 Ni
0.336 0.000 0.000 Ni
0.727 0.727 0.273 B
0.727 0.273 0.727 B
0.273 0.727 0.727 B
0.273 0.273 0.727 B
0.273 0.727 0.273 B
0.727 0.273 0.273 B
0.250 0.250 0.250 Au
0.750 0.750 0.750 Au
```

Output
DFT total energy: -173.62 eV per cell
Space group: Fm-3m
Calculated volume: 296.4 Å³ per cell
Density of states at the Fermi level: 33.4 states/eV/f.u.
Formation energy: -193 meV per atom



# 2
VASP calculation (PBE-GGA) on a geometry-optimized SmGdGe structure.

```
SmGdGe
1.0
3.927 0.000 0.000
0.000 3.927 0.000
-1.964 -1.964 5.041
Gd Ge Sm
1 1 1
Direct
0.637 0.637 0.275 Gd
0.281 0.281 0.563 Ge
0.931 0.931 0.862 Sm
```

Output
DFT total energy: -24.80 eV per cell
Space group: I4mm
Calculated volume: 77.7 Å³ per cell
Density of states at the Fermi level: 2.8 states/eV/f.u.
Formation energy: -462 meV per atom



# 3
VASP calculation (PBE-GGA) on a geometry-optimized Ac5Sb4Pb structure.

```
Ac5Sb4Pb
1.0
-1.884 -2.410 -3.715
0.616 -4.141 2.373
-14.874 4.879 7.495
Sb Ac Pb
4 5 1
Direct
0.800 0.800 0.599 Sb
0.600 0.600 0.201 Sb
0.200 0.200 0.401 Sb
0.400 0.400 0.799 Sb
0.898 0.898 0.797 Ac
0.700 0.700 0.400 Ac
0.102 0.102 0.203 Ac
0.500 0.500 0.000 Ac
0.300 0.300 0.600 Ac
0.000 0.000 0.000 Pb
```

Output
DFT total energy: -51.17 eV per cell
E_form (uncorrected): -1.043 eV/atom
Space group: I4/mmm
E above lowest polymorph: 0.00 eV per formula unit
Calculated volume: 394.1 Å³ per cell
Density of states at the Fermi level: 6.5 states/eV/f.u.